No. 1
# PBE LiLa2TeH, relaxed
data_LiLa2TeH
_cell_length_a 5.107
_cell_length_b 5.107
_cell_length_c 4.349
_cell_angle_alpha 90.00
_cell_angle_beta 90.00
_cell_angle_gamma 90.00
_space_group_name_H-M_alt 'P 4/m m m'
_space_group_IT_number 123
_space_group_name_Hall '-P 4 2'
loop_
_atom_site_label
_atom_site_type_symbol
_atom_site_fract_x
_atom_site_fract_y
_atom_site_fract_z
Li1 Li 0.000 0.000 0.000
La1 La 0.000 0.500 0.500
Te1 Te 0.500 0.500 0.000
H1 H 0.000 0.000 0.500
# Size of the total moment: 0.0 μB/cell
# Calculated volume: 22.69 Å³/atom
# Crystal system: tetragonal
# Final energy: -4.3363 eV/atom

No. 2
# PBE NaTbGePt, relaxed
data_NaTbGePt
_cell_length_a 6.724
_cell_length_b 6.724
_cell_length_c 6.724
_cell_angle_alpha 90.00
_cell_angle_beta 90.00
_cell_angle_gamma 90.00
_space_group_name_H-M_alt 'F -4 3 m'
_space_group_IT_number 216
_space_group_name_Hall 'F -4 2 3'
loop_
_atom_site_label
_atom_site_type_symbol
_atom_site_fract_x
_atom_site_fract_y
_atom_site_fract_z
Na1 Na 0.000 0.000 0.000
Tb1 Tb 0.250 0.250 0.250
Ge1 Ge 0.250 0.250 0.750
Pt1 Pt 0.000 0.000 0.500
# Size of the total moment: 0.0 μB/cell
# Calculated volume: 19.00 Å³/atom
# Crystal system: cubic
# Final energy: -4.7564 eV/atom

No. 3
# PBE Sc3Cu, relaxed
data_Sc3Cu
_cell_length_a 6.254
_cell_length_b 8.789
_cell_length_c 6.124
_cell_angle_alpha 90.00
_cell_angle_beta 90.00
_cell_angle_gamma 90.00
_space_group_name_H-M_alt 'P n m a'
_space_group_IT_number 62
_space_group_name_Hall '-P 2ac 2n'
loop_
_atom_site_label
_atom_site_type_symbol
_atom_site_fract_x
_atom_site_fract_y
_atom_site_fract_z
Sc1 Sc 0.012 0.250 0.107
Sc2 Sc 0.212 0.054 0.710
Cu1 Cu 0.055 0.750 0.478
# Size of the total moment: 0.0 μB/cell
# Calculated volume: 21.04 Å³/atom
# Crystal system: orthorhombic
# ΔE to the lowest computed polymorph: 0.0 meV/atom

No. 4
# PBE Er8CoAu2, relaxed
data_Er8CoAu2
_cell_length_a 17.134
_cell_length_b 5.088
_cell_length_c 6.684
_cell_angle_alpha 90.00
_cell_angle_beta 106.38
_cell_angle_gamma 90.00
_space_group_name_H-M_alt 'C 1 2/m 1'
_space_group_IT_number 12
_space_group_name_Hall '-C 2y'
loop_
_atom_site_label
_atom_site_type_symbol
_atom_site_fract_x
_atom_site_fract_y
_atom_site_fract_z
Er1 Er 0.028 0.000 0.290
Er2 Er 0.089 0.500 0.931
Er3 Er 0.157 0.500 0.466
Er4 Er 0.203 0.000 0.810
Co1 Co 0.000 0.500 0.500
Au1 Au 0.187 0.000 0.222
# Size of the total moment: 0.0 μB/cell
# Calculated volume: 25.41 Å³/atom
# Crystal system: monoclinic
# Final energy: -4.9284 eV/atom

No. 5
# PBE Pr2TmAl, relaxed
data_Pr2TmAl
_cell_length_a 5.366
_cell_length_b 7.011
_cell_length_c 12.260
_cell_angle_alpha 90.00
_cell_angle_beta 90.00
_cell_angle_gamma 90.00
_space_group_name_H-M_alt 'A m m 2'
_space_group_IT_number 38
_space_group_name_Hall 'A 2 -2'
loop_
_atom_site_label
_atom_site_type_symbol
_atom_site_fract_x
_atom_site_fract_y
_atom_site_fract_z
Pr1 Pr 0.000 0.000 0.000
Pr2 Pr 0.000 0.231 0.236
Pr3 Pr 0.500 0.000 0.646
Tm1 Tm 0.500 0.233 0.409
Al1 Al 0.000 0.000 0.483
Al2 Al 0.500 0.000 0.158
# Size of the total moment: 0.0 μB/cell
# Calculated volume: 28.83 Å³/atom
# Crystal system: orthorhombic
# ΔE to the lowest computed polymorph: 0.0 meV/atom

No. 6
# PBE HfHgSCl2, relaxed
data_HfHgSCl2
_cell_length_a 5.118
_cell_length_b 5.118
_cell_length_c 4.890
_cell_angle_alpha 90.00
_cell_angle_beta 90.00
_cell_angle_gamma 90.00
_space_group_name_H-M_alt 'P 4/m m m'
_space_group_IT_number 123
_space_group_name_Hall '-P 4 2'
loop_
_atom_site_label
_atom_site_type_symbol
_atom_site_fract_x
_atom_site_fract_y
_atom_site_fract_z
Hf1 Hf 0.000 0.000 0.000
Hg1 Hg 0.500 0.500 0.500
S1 S 0.000 0.000 0.500
Cl1 Cl 0.000 0.500 0.000
# Size of the total moment: 0.0 μB/cell
# Formation energy from raw total energies: -1.053 eV per atom
# Calculated volume: 25.62 Å³/atom
# Crystal system: tetragonal
# ΔE to the lowest computed polymorph: 0.0 meV/atom

No. 7
# PBE ScBeTl, relaxed
data_ScBeTl
_cell_length_a 5.318
_cell_length_b 3.275
_cell_length_c 7.091
_cell_angle_alpha 90.00
_cell_angle_beta 108.79
_cell_angle_gamma 90.00
_space_group_name_H-M_alt 'P 1 2/m 1'
_space_group_IT_number 10
_space_group_name_Hall '-P 2y'
loop_
_atom_site_label
_atom_site_type_symbol
_atom_site_fract_x
_atom_site_fract_y
_atom_site_fract_z
Sc1 Sc 0.122 0.000 0.293
Be1 Be 0.196 0.500 0.003
Tl1 Tl 0.376 0.500 0.704
# Size of the total moment: 0.0 μB/cell
# Calculated volume: 19.48 Å³/atom
# Crystal system: monoclinic
# ΔE to the lowest computed polymorph: 117.2 meV/atom

No. 8
# PBE ZrTcMo2, relaxed
data_ZrTcMo2
_cell_length_a 3.777
_cell_length_b 3.777
_cell_length_c 4.816
_cell_angle_alpha 90.00
_cell_angle_beta 90.00
_cell_angle_gamma 90.00
_space_group_name_H-M_alt 'P 4/m m m'
_space_group_IT_number 123
_space_group_name_Hall '-P 4 2'
loop_
_atom_site_label
_atom_site_type_symbol
_atom_site_fract_x
_atom_site_fract_y
_atom_site_fract_z
Zr1 Zr 0.000 0.000 0.000
Tc1 Tc 0.500 0.500 0.000
Mo1 Mo 0.000 0.500 0.500
# Size of the total moment: 0.0 μB/cell
# Calculated volume: 17.18 Å³/atom
# Crystal system: tetragonal
# ΔE to the lowest computed polymorph: 270.8 meV/atom

No. 9
# PBE CrCdNi4, relaxed
data_CrCdNi4
_cell_length_a 6.774
_cell_length_b 6.774
_cell_length_c 6.774
_cell_angle_alpha 90.00
_cell_angle_beta 90.00
_cell_angle_gamma 90.00
_space_group_name_H-M_alt 'F -4 3 m'
_space_group_IT_number 216
_space_group_name_Hall 'F -4 2 3'
loop_
_atom_site_label
_atom_site_type_symbol
_atom_site_fract_x
_atom_site_fract_y
_atom_site_fract_z
Cr1 Cr 0.000 0.000 0.000
Cd1 Cd 0.250 0.250 0.250
Ni1 Ni 0.125 0.125 0.625
# Size of the total moment: 13.1 μB/cell
# Calculated volume: 12.95 Å³/atom
# Crystal system: cubic
# Final energy: -5.5171 eV/atom

No. 10
# PBE SrAcTbNd, relaxed
data_SrAcTbNd
_cell_length_a 8.634
_cell_length_b 8.634
_cell_length_c 8.634
_cell_angle_alpha 90.00
_cell_angle_beta 90.00
_cell_angle_gamma 90.00
_space_group_name_H-M_alt 'F -4 3 m'
_space_group_IT_number 216
_space_group_name_Hall 'F -4 2 3'
loop_
_atom_site_label
_atom_site_type_symbol
_atom_site_fract_x
_atom_site_fract_y
_atom_site_fract_z
Sr1 Sr 0.000 0.000 0.000
Ac1 Ac 0.250 0.250 0.250
Tb1 Tb 0.000 0.000 0.500
Nd1 Nd 0.250 0.250 0.750
# Size of the total moment: 0.0 μB/cell
# Calculated volume: 40.23 Å³/atom
# Crystal system: cubic
# Final energy: -3.6068 eV/atom

No. 11
# PBE CdFeHg2, relaxed
data_CdFeHg2
_cell_length_a 3.0700
_cell_length_b 3.0700
_cell_length_c 29.8595
_cell_angle_alpha 90.00
_cell_angle_beta 90.00
_cell_angle_gamma 120.00
_space_group_name_H-M_alt 'R -3 m'
_space_group_IT_number 166
_space_group_name_Hall '-R 3 2"'
loop_
_atom_site_label
_atom_site_type_symbol
_atom_site_fract_x
_atom_site_fract_y
_atom_site_fract_z
Cd1 Cd 0.0000 0.0000 0.0000
Fe1 Fe 0.0000 0.0000 0.5000
Hg1 Hg 0.0000 0.0000 0.2400
# Size of the total moment: 8.5 μB/cell
# Calculated volume: 20.31 Å³/atom
# Crystal system: trigonal
# Final energy: -2.1563 eV/atom

No. 12
# PBE Ho6BiP3S2, relaxed
data_Ho6BiP3S2
_cell_length_a 17.635
_cell_length_b 4.025
_cell_length_c 8.135
_cell_angle_alpha 90.00
_cell_angle_beta 103.78
_cell_angle_gamma 90.00
_space_group_name_H-M_alt 'C 1 2/m 1'
_space_group_IT_number 12
_space_group_name_Hall '-C 2y'
loop_
_atom_site_label
_atom_site_type_symbol
_atom_site_fract_x
_atom_site_fract_y
_atom_site_fract_z
Ho1 Ho 0.000 0.000 0.227
Ho2 Ho 0.165 0.500 0.090
Ho3 Ho 0.176 0.500 0.582
Bi1 Bi 0.000 0.500 0.500
P1 P 0.000 0.500 0.000
P2 P 0.165 0.000 0.330
S1 S 0.170 0.000 0.838
# Size of the total moment: 0.0 μB/cell
# Formation energy from raw total energies: -1.603 eV per atom
# Calculated volume: 23.37 Å³/atom
# Crystal system: monoclinic

Copy entry 2 word for word.
# PBE NaTbGePt, relaxed
data_NaTbGePt
_cell_length_a 6.724
_cell_length_b 6.724
_cell_length_c 6.724
_cell_angle_alpha 90.00
_cell_angle_beta 90.00
_cell_angle_gamma 90.00
_space_group_name_H-M_alt 'F -4 3 m'
_space_group_IT_number 216
_space_group_name_Hall 'F -4 2 3'
loop_
_atom_site_label
_atom_site_type_symbol
_atom_site_fract_x
_atom_site_fract_y
_atom_site_fract_z
Na1 Na 0.000 0.000 0.000
Tb1 Tb 0.250 0.250 0.250
Ge1 Ge 0.250 0.250 0.750
Pt1 Pt 0.000 0.000 0.500
# Size of the total moment: 0.0 μB/cell
# Calculated volume: 19.00 Å³/atom
# Crystal system: cubic
# Final energy: -4.7564 eV/atom